Below is BaCaY2Ir after structural relaxation, with properties calculated at the GGA-PBE level.

```
data_BaCaY2Ir
_cell_length_a 5.500
_cell_length_b 5.500
_cell_length_c 6.197
_cell_angle_alpha 90.00
_cell_angle_beta 90.00
_cell_angle_gamma 90.00
_symmetry_space_group_name_H-M 'P 4/m m m'
_symmetry_Int_Tables_number 123
_symmetry_space_group_name_Hall '-P 4 2'
loop_
_atom_site_label
_atom_site_type_symbol
_atom_site_fract_x
_atom_site_fract_y
_atom_site_fract_z
Ba1 Ba 0.000 0.000 0.000
Ca1 Ca 0.500 0.500 0.000
Y1 Y 0.000 0.500 0.500
Ir1 Ir 0.000 0.000 0.500
```

Magnetization: 0.00 μB per cell
Energy relative to the elements: -0.19 eV/atom